The following is a DFT calculation (PBE) of an optimized crystal structure of Cs2HgRuCl6.

Total moment, μB per formula unit: 1.99
Calculated total energy, eV/cell: -33.15
Symmetry: No. 139
E_form (uncorrected), eV/atom: -1.079
Crystal system: tetragonal

a = 7.765 Å, b = 7.765 Å, c = 7.780 Å
α = 60.07°, β = 60.07°, γ = 90.00°
Last column: magnetic moment on the atom in μB.
Atoms (fractional coordinates):
Cl (0.716, 0.716, 0.000)  0.05
Cl (0.715, 0.715, 0.570)  0.04
Hg (0.000, 0.000, 0.000)  0.01
Cs (0.750, 0.250, 0.500)  0.00
Cl (0.284, 0.284, 0.000)  0.05
Cl (0.716, 0.284, 0.000)  0.05
Ru (0.500, 0.500, 0.000)  1.46
Cs (0.250, 0.750, 0.500)  0.00
Cl (0.284, 0.716, 0.000)  0.05
Cl (0.285, 0.285, 0.430)  0.04

---

The following is a DFT calculation (PBE) of an optimized crystal structure of CsHgSCl2.

Total moment, μB per formula unit: 2.09
Calculated total energy, eV/cell: -7.96
Symmetry: No. 123
E_form (uncorrected), eV/atom: 0.203
Crystal system: tetragonal
Energy above the lowest structure with this stoichiometry, meV per atom: 898

a = 6.295 Å, b = 6.295 Å, c = 5.740 Å
α = 90.00°, β = 90.00°, γ = 90.00°
Last column: magnetic moment on the atom in μB.
Atoms (fractional coordinates):
S (0.000, 0.000, 0.500)  0.53
Cl (0.500, 0.000, 0.000)  0.30
Hg (0.500, 0.500, 0.500)  0.22
Cl (0.000, 0.500, 0.000)  0.30
Cs (0.000, 0.000, 0.000)  0.04

---

The following is a DFT calculation (PBE) of an optimized crystal structure of CsHgSCl2.

Total moment, μB per formula unit: 0.81
Calculated total energy, eV/cell: -12.45
Symmetry: No. 123
E_form (uncorrected), eV/atom: -0.695
Crystal system: tetragonal
Energy above the lowest structure with this stoichiometry, meV per atom: 0

a = 5.602 Å, b = 5.602 Å, c = 4.997 Å
α = 90.00°, β = 90.00°, γ = 90.00°
Last column: magnetic moment on the atom in μB.
Atoms (fractional coordinates):
Cs (0.500, 0.500, 0.500)  0.00
Hg (0.000, 0.000, 0.000)  0.02
Cl (0.500, 0.000, 0.000)  0.05
Cl (0.000, 0.500, 0.000)  0.05
S (0.000, 0.000, 0.500)  0.40

---

The following is a DFT calculation (PBE) of an optimized crystal structure of CsHgSbCl6.

Total moment, μB per formula unit: 0.00
Calculated total energy, eV/cell: -25.76
Symmetry: No. 149
E_form (uncorrected), eV/atom: -1.045
Crystal system: trigonal

a = 7.097 Å, b = 7.097 Å, c = 7.704 Å
α = 90.00°, β = 90.00°, γ = 60.00°
Atoms (fractional coordinates):
Cl (0.381, 0.996, 0.701)
Cl (0.623, 0.381, 0.701)
Cl (0.996, 0.381, 0.299)
Cs (0.000, 0.000, 0.000)
Cl (0.381, 0.623, 0.299)
Hg (0.333, 0.333, 0.500)
Cl (0.996, 0.623, 0.701)
Sb (0.667, 0.667, 0.500)
Cl (0.623, 0.996, 0.299)

---

The following is a DFT calculation (PBE) of an optimized crystal structure of CsHg2SbCl8.

Total moment, μB per formula unit: 0.00
Calculated total energy, eV/cell: -30.71
Symmetry: No. 155
E_form (uncorrected), eV/atom: -0.863
Crystal system: trigonal

a = 6.618 Å, b = 6.618 Å, c = 11.423 Å
α = 73.16°, β = 73.16°, γ = 60.00°
Atoms (fractional coordinates):
Cl (0.150, 0.773, 0.661)
Cs (0.000, 0.000, 0.000)
Hg (0.751, 0.751, 0.746)
Cl (0.227, 0.850, 0.339)
Cl (0.416, 0.150, 0.661)
Cl (0.584, 0.227, 0.339)
Hg (0.249, 0.249, 0.254)
Cl (0.773, 0.416, 0.661)
Cl (0.324, 0.324, 0.028)
Cl (0.850, 0.584, 0.339)
Sb (0.500, 0.500, 0.500)
Cl (0.676, 0.676, 0.972)

---

The following is a DFT calculation (PBE) of an optimized crystal structure of Cs2HgSeCl6.

Total moment, μB per formula unit: 0.00
Calculated total energy, eV/cell: -27.40
Symmetry: No. 139
E_form (uncorrected), eV/atom: -1.083
Crystal system: tetragonal

a = 7.764 Å, b = 7.764 Å, c = 7.887 Å
α = 60.52°, β = 60.52°, γ = 90.00°
Atoms (fractional coordinates):
Hg (0.000, 0.000, 0.000)
Se (0.500, 0.500, 0.000)
Cl (0.724, 0.724, 0.000)
Cl (0.790, 0.790, 0.419)
Cl (0.724, 0.276, 0.000)
Cs (0.750, 0.250, 0.500)
Cl (0.276, 0.276, 0.000)
Cs (0.250, 0.750, 0.500)
Cl (0.210, 0.210, 0.581)
Cl (0.276, 0.724, 0.000)

---

The following is a DFT calculation (PBE) of an optimized crystal structure of CsHgSeCl2.

Total moment, μB per formula unit: 0.00
Calculated total energy, eV/cell: -10.94
Symmetry: No. 123
E_form (uncorrected), eV/atom: -0.522
Crystal system: tetragonal

a = 5.334 Å, b = 6.794 Å, c = 5.334 Å
α = 90.00°, β = 90.00°, γ = 90.00°
Atoms (fractional coordinates):
Hg (0.500, 0.500, 0.500)
Cs (0.000, 0.500, 0.000)
Se (0.000, 0.000, 0.000)
Cl (0.000, 0.000, 0.500)
Cl (0.500, 0.000, 0.000)

---

The following is a DFT calculation (PBE) of an optimized crystal structure of Cs2SiHgCl6.

Total moment, μB per formula unit: 0.00
Calculated total energy, eV/cell: -31.89
Symmetry: No. 225
E_form (uncorrected), eV/atom: -1.338
Crystal system: cubic

a = 7.828 Å, b = 7.828 Å, c = 7.829 Å
α = 60.01°, β = 60.01°, γ = 90.00°
Atoms (fractional coordinates):
Cl (0.703, 0.297, 0.000)
Cl (0.703, 0.703, 0.000)
Cs (0.250, 0.750, 0.500)
Cl (0.297, 0.297, 0.000)
Si (0.500, 0.500, 0.000)
Cl (0.297, 0.297, 0.406)
Hg (0.000, 0.000, 0.000)
Cl (0.297, 0.703, 0.000)
Cs (0.750, 0.250, 0.500)
Cl (0.703, 0.703, 0.594)

---

The following is a DFT calculation (PBE) of an optimized crystal structure of Cs2SnHgCl6.

Total moment, μB per formula unit: 0.00
Calculated total energy, eV/cell: -30.24
Symmetry: No. 225
E_form (uncorrected), eV/atom: -1.315
Crystal system: cubic

a = 7.779 Å, b = 7.779 Å, c = 7.782 Å
α = 60.01°, β = 60.01°, γ = 90.00°
Atoms (fractional coordinates):
Cl (0.753, 0.753, 0.495)
Cl (0.247, 0.753, 0.000)
Cl (0.247, 0.247, 0.505)
Cl (0.753, 0.247, 0.000)
Cs (0.250, 0.750, 0.500)
Cl (0.247, 0.247, 0.000)
Hg (0.000, 0.000, 0.000)
Cl (0.753, 0.753, 0.000)
Sn (0.500, 0.500, 0.000)
Cs (0.750, 0.250, 0.500)

---

The following is a DFT calculation (PBE) of an optimized crystal structure of Cs4Sn3HgCl12.

Total moment, μB per formula unit: 0.00
Calculated total energy, eV/cell: -65.49
Symmetry: No. 229
E_form (uncorrected), eV/atom: -1.380
Crystal system: cubic

a = 9.637 Å, b = 9.637 Å, c = 9.637 Å
α = 109.47°, β = 109.47°, γ = 109.47°
Atoms (fractional coordinates):
Cl (0.000, 0.752, 0.752)
Cs (0.500, 0.500, 0.500)
Cl (0.000, 0.248, 0.248)
Cl (0.248, 0.000, 0.248)
Cs (0.000, 0.500, 0.000)
Cl (0.500, 0.750, 0.250)
Cl (0.750, 0.250, 0.500)
Cl (0.248, 0.248, 0.000)
Hg (0.000, 0.000, 0.000)
Cl (0.250, 0.750, 0.500)
Cl (0.250, 0.500, 0.750)
Sn (0.500, 0.500, 0.000)
Cl (0.752, 0.000, 0.752)
Cl (0.500, 0.250, 0.750)
Sn (0.500, 0.000, 0.500)
Cl (0.752, 0.752, 0.000)
Cs (0.500, 0.000, 0.000)
Cl (0.750, 0.500, 0.250)
Sn (0.000, 0.500, 0.500)
Cs (0.000, 0.000, 0.500)

---

The following is a DFT calculation (PBE) of an optimized crystal structure of CsSnHgCl2.

Total moment, μB per formula unit: 0.00
Calculated total energy, eV/cell: -13.40
Symmetry: No. 123
E_form (uncorrected), eV/atom: -0.909
Crystal system: tetragonal

a = 5.730 Å, b = 5.730 Å, c = 5.913 Å
α = 90.00°, β = 90.00°, γ = 90.00°
Atoms (fractional coordinates):
Cl (0.000, 0.500, 0.000)
Hg (0.000, 0.000, 0.500)
Cl (0.500, 0.000, 0.000)
Sn (0.000, 0.000, 0.000)
Cs (0.500, 0.500, 0.500)

---

The following is a DFT calculation (PBE) of an optimized crystal structure of CsSnHgCl6.

Total moment, μB per formula unit: 0.67
Calculated total energy, eV/cell: -51.20
Symmetry: No. 163
E_form (uncorrected), eV/atom: -1.040
Crystal system: trigonal

a = 7.064 Å, b = 7.064 Å, c = 15.306 Å
α = 90.00°, β = 90.00°, γ = 120.00°
Last column: magnetic moment on the atom in μB.
Atoms (fractional coordinates):
Cl (0.616, 0.993, 0.851)  0.06
Cl (0.377, 0.384, 0.851)  0.06
Cl (0.377, 0.993, 0.649)  0.06
Sn (0.333, 0.667, 0.750)  0.21
Cl (0.007, 0.384, 0.649)  0.06
Cs (0.000, 0.000, 0.000)  0.00
Cl (0.007, 0.623, 0.851)  0.06
Cl (0.993, 0.377, 0.149)  0.06
Hg (0.333, 0.667, 0.250)  0.00
Cl (0.623, 0.616, 0.149)  0.06
Cl (0.993, 0.616, 0.351)  0.06
Cl (0.384, 0.377, 0.351)  0.06
Cl (0.616, 0.623, 0.649)  0.06
Sn (0.667, 0.333, 0.250)  0.21
Cl (0.623, 0.007, 0.351)  0.06
Cs (0.000, 0.000, 0.500)  0.00
Hg (0.667, 0.333, 0.750)  0.00
Cl (0.384, 0.007, 0.149)  0.06

---

The following is a DFT calculation (PBE) of an optimized crystal structure of CsSrHgCl5.

Total moment, μB per formula unit: 0.00
Calculated total energy, eV/cell: -50.69
Symmetry: No. 15
E_form (uncorrected), eV/atom: -1.659
Crystal system: monoclinic

a = 8.101 Å, b = 8.101 Å, c = 10.519 Å
α = 103.55°, β = 103.55°, γ = 107.15°
Atoms (fractional coordinates):
Cl (0.315, 0.898, 0.607)
Cs (0.340, 0.660, 0.250)
Cs (0.660, 0.340, 0.750)
Sr (0.000, 0.000, 0.500)
Cl (0.898, 0.315, 0.107)
Cl (0.102, 0.685, 0.893)
Hg (0.685, 0.315, 0.250)
Cl (0.381, 0.253, 0.067)
Hg (0.315, 0.685, 0.750)
Cl (0.685, 0.102, 0.393)
Cl (0.078, 0.922, 0.250)
Cl (0.619, 0.747, 0.933)
Sr (0.000, 0.000, 0.000)
Cl (0.747, 0.619, 0.433)
Cl (0.922, 0.078, 0.750)
Cl (0.253, 0.381, 0.567)

---

The following is a DFT calculation (PBE) of an optimized crystal structure of Cs2TaHgCl6.

Total moment, μB per formula unit: 1.00
Calculated total energy, eV/cell: -79.05
Symmetry: No. 166
E_form (uncorrected), eV/atom: -1.458
Crystal system: trigonal
Energy above the lowest structure with this stoichiometry, meV per atom: 0

a = 7.374 Å, b = 7.374 Å, c = 19.464 Å
α = 79.08°, β = 79.08°, γ = 60.00°
Last column: magnetic moment on the atom in μB.
Atoms (fractional coordinates):
Ta (0.000, 0.000, 0.000)  0.70
Cl (0.714, 0.180, 0.926)  0.00
Cl (0.820, 0.820, 0.074)  0.00
Cl (0.286, 0.820, 0.074)  0.00
Hg (0.585, 0.585, 0.246)  0.00
Cs (0.692, 0.692, 0.923)  0.00
Cl (0.369, 0.835, 0.426)  0.00
Cl (0.180, 0.180, 0.926)  0.00
Cl (0.165, 0.631, 0.574)  0.00
Cl (0.180, 0.714, 0.926)  0.00
Cl (0.631, 0.165, 0.574)  0.00
Ta (0.500, 0.500, 0.500)  0.72
Cs (0.308, 0.308, 0.077)  0.00
Cl (0.835, 0.369, 0.426)  0.00
Cl (0.631, 0.631, 0.574)  0.00
Cs (0.859, 0.859, 0.424)  0.00
Hg (0.415, 0.415, 0.754)  0.00
Cl (0.820, 0.286, 0.074)  0.00
Cs (0.141, 0.141, 0.576)  0.00
Cl (0.369, 0.369, 0.426)  0.00

---

The following is a DFT calculation (PBE) of an optimized crystal structure of Cs2TaHgCl6.

Total moment, μB per formula unit: 1.00
Calculated total energy, eV/cell: -39.19
Symmetry: No. 225
E_form (uncorrected), eV/atom: -1.425
Crystal system: cubic
Energy above the lowest structure with this stoichiometry, meV per atom: 33

a = 8.150 Å, b = 8.150 Å, c = 8.150 Å
α = 60.00°, β = 60.00°, γ = 90.00°
Last column: magnetic moment on the atom in μB.
Atoms (fractional coordinates):
Cl (0.290, 0.290, 0.000)  0.00
Cs (0.250, 0.750, 0.500)  0.00
Cl (0.710, 0.710, 0.000)  0.00
Cl (0.290, 0.290, 0.421)  0.00
Ta (0.500, 0.500, 0.000)  0.71
Cl (0.710, 0.290, 0.000)  0.00
Cs (0.750, 0.250, 0.500)  0.00
Hg (0.000, 0.000, 0.000)  0.00
Cl (0.290, 0.710, 0.000)  0.00
Cl (0.710, 0.710, 0.579)  0.00

---

The following is a DFT calculation (PBE) of an optimized crystal structure of CsTaHgCl6.

Total moment, μB per formula unit: 0.00
Calculated total energy, eV/cell: -36.27
Symmetry: No. 149
E_form (uncorrected), eV/atom: -1.354
Crystal system: trigonal

a = 8.172 Å, b = 8.172 Å, c = 6.401 Å
α = 90.00°, β = 90.00°, γ = 60.00°
Atoms (fractional coordinates):
Cl (0.574, 0.327, 0.714)
Hg (0.667, 0.667, 0.500)
Cl (0.099, 0.574, 0.714)
Cl (0.574, 0.099, 0.286)
Cs (0.000, 0.000, 0.000)
Ta (0.333, 0.333, 0.500)
Cl (0.327, 0.099, 0.714)
Cl (0.099, 0.327, 0.286)
Cl (0.327, 0.574, 0.286)

---

The following is a DFT calculation (PBE) of an optimized crystal structure of CsTbHgCl6.

Total moment, μB per formula unit: 0.00
Calculated total energy, eV/cell: -32.00
Symmetry: No. 149
E_form (uncorrected), eV/atom: -1.681
Crystal system: trigonal

a = 7.076 Å, b = 7.075 Å, c = 7.701 Å
α = 89.99°, β = 90.00°, γ = 60.01°
Atoms (fractional coordinates):
Cl (0.620, 0.995, 0.297)
Tb (0.667, 0.667, 0.500)
Hg (0.333, 0.333, 0.500)
Cl (0.994, 0.386, 0.297)
Cl (0.620, 0.386, 0.703)
Cl (0.385, 0.995, 0.703)
Cl (0.994, 0.620, 0.703)
Cs (0.000, 0.000, 0.000)
Cl (0.385, 0.620, 0.297)

---

The following is a DFT calculation (PBE) of an optimized crystal structure of CsTbHg2Cl8.

Total moment, μB per formula unit: 0.00
Calculated total energy, eV/cell: -37.34
Symmetry: No. 2
E_form (uncorrected), eV/atom: -1.373
Crystal system: triclinic

a = 6.687 Å, b = 7.119 Å, c = 9.697 Å
α = 66.69°, β = 77.20°, γ = 80.91°
Atoms (fractional coordinates):
Cl (0.559, 0.740, 0.493)
Cl (0.688, 0.769, 0.027)
Cs (0.000, 0.000, 0.500)
Cl (0.128, 0.717, 0.248)
Cl (0.226, 0.818, 0.825)
Cl (0.872, 0.283, 0.752)
Tb (0.000, 0.000, 0.000)
Hg (0.537, 0.535, 0.272)
Cl (0.441, 0.260, 0.507)
Hg (0.463, 0.465, 0.728)
Cl (0.774, 0.182, 0.175)
Cl (0.312, 0.231, 0.973)

---

The following is a DFT calculation (PBE) of an optimized crystal structure of Cs2HgTeCl6.

Total moment, μB per formula unit: 0.00
Calculated total energy, eV/cell: -27.62
Symmetry: No. 139
E_form (uncorrected), eV/atom: -1.139
Crystal system: tetragonal

a = 8.106 Å, b = 8.106 Å, c = 8.103 Å
α = 59.99°, β = 59.99°, γ = 90.00°
Atoms (fractional coordinates):
Cs (0.750, 0.250, 0.500)
Cs (0.250, 0.750, 0.500)
Cl (0.274, 0.726, 0.000)
Cl (0.274, 0.274, 0.453)
Cl (0.726, 0.726, 0.547)
Cl (0.726, 0.274, 0.000)
Hg (0.000, 0.000, 0.000)
Cl (0.726, 0.726, 0.000)
Cl (0.274, 0.274, 0.000)
Te (0.500, 0.500, 0.000)

---

The following is a DFT calculation (PBE) of an optimized crystal structure of Cs2ThHgCl6.

Total moment, μB per formula unit: 0.00
Calculated total energy, eV/cell: -79.27
Symmetry: No. 166
E_form (uncorrected), eV/atom: -1.913
Crystal system: trigonal

a = 7.781 Å, b = 7.781 Å, c = 20.131 Å
α = 78.86°, β = 78.86°, γ = 60.00°
Atoms (fractional coordinates):
Cl (0.360, 0.360, 0.423)
Cl (0.809, 0.809, 0.077)
Cs (0.310, 0.310, 0.071)
Cs (0.857, 0.857, 0.430)
Th (0.500, 0.500, 0.500)
Cl (0.191, 0.695, 0.923)
Cl (0.640, 0.143, 0.577)
Cs (0.690, 0.690, 0.929)
Cl (0.640, 0.640, 0.577)
Cl (0.695, 0.191, 0.923)
Hg (0.584, 0.584, 0.247)
Cl (0.305, 0.809, 0.077)
Cl (0.191, 0.191, 0.923)
Cs (0.143, 0.143, 0.570)
Cl (0.143, 0.640, 0.577)
Th (0.000, 0.000, 0.000)
Hg (0.416, 0.416, 0.753)
Cl (0.809, 0.305, 0.077)
Cl (0.360, 0.857, 0.423)
Cl (0.857, 0.360, 0.423)